! CsPb12Au6, optimized geometry, DFT PBE; values from VASP
! ΔE_f   -0.09 eV/atom
&SYSTEM
  ibrav = 0, nat = 19, ntyp = 3
/
ATOMIC_SPECIES
Cs 132.91 Cs.upf
Pb 207.20 Pb.upf
Au 196.97 Au.upf
ATOMIC_POSITIONS crystal
Cs 0.000 0.000 0.000
Pb 0.873 0.127 0.500
Pb 0.818 0.556 0.556
Pb 0.556 0.556 0.818
Pb 0.444 0.182 0.444
Pb 0.444 0.444 0.182
Pb 0.182 0.444 0.444
Pb 0.127 0.500 0.873
Pb 0.500 0.873 0.127
Pb 0.127 0.873 0.500
Pb 0.873 0.500 0.127
Pb 0.500 0.127 0.873
Pb 0.556 0.818 0.556
Au 0.697 0.247 0.247
Au 0.247 0.247 0.697
Au 0.247 0.697 0.247
Au 0.753 0.753 0.303
Au 0.303 0.753 0.753
Au 0.753 0.303 0.753
CELL_PARAMETERS angstrom
-5.764 6.338 1.672
-4.556 -6.159 -4.183
1.876 -3.467 7.787

! ScGeTe2, optimized geometry, DFT PBE; values from VASP
! Formation energy from raw total energies   0.009 eV/atom
&SYSTEM
  ibrav = 0, nat = 4, ntyp = 3
/
ATOMIC_SPECIES
Sc 44.96 Sc.upf
Ge 72.64 Ge.upf
Te 127.60 Te.upf
ATOMIC_POSITIONS crystal
Sc 0.000 0.000 0.000
Ge 0.500 0.500 0.500
Te 0.896 0.896 0.896
Te 0.104 0.104 0.104
CELL_PARAMETERS angstrom
2.802 -8.657 0.978
6.256 -6.679 -0.089
4.990 -6.646 3.833

! K2PaTe2S2, optimized geometry, DFT PBE; values from VASP
! Formation energy from raw total energies   -1.092 eV/atom
&SYSTEM
  ibrav = 0, nat = 7, ntyp = 4
/
ATOMIC_SPECIES
K 39.10 K.upf
Pa 231.04 Pa.upf
Te 127.60 Te.upf
S 32.06 S.upf
ATOMIC_POSITIONS crystal
K 0.801 0.397 0.294
K 0.199 0.603 0.706
Pa 0.000 0.000 0.000
Te 0.528 0.944 0.745
Te 0.472 0.056 0.255
S 0.834 0.332 0.802
S 0.166 0.668 0.198
CELL_PARAMETERS angstrom
4.871 0.000 0.000
2.435 8.014 0.044
0.000 2.481 6.307

! Sm5DySb6, optimized geometry, DFT PBE; values from VASP
! Formation energy from raw total energies   -1.168 eV/atom
&SYSTEM
  ibrav = 0, nat = 12, ntyp = 3
/
ATOMIC_SPECIES
Sm 150.36 Sm.upf
Dy 162.50 Dy.upf
Sb 121.76 Sb.upf
ATOMIC_POSITIONS crystal
Sm 0.500 0.168 0.664
Sm 0.000 0.334 0.333
Sm 0.500 0.500 0.000
Sm 0.000 0.666 0.667
Sm 0.500 0.832 0.336
Dy 0.000 0.000 0.000
Sb 0.752 0.083 0.330
Sb 0.248 0.587 0.330
Sb 0.249 0.247 0.000
Sb 0.751 0.753 0.000
Sb 0.752 0.413 0.670
Sb 0.248 0.917 0.670
CELL_PARAMETERS angstrom
-2.797 -1.855 -6.953
4.837 -4.893 -3.502
-0.857 -7.615 0.946

! La2Pr3Mg2, optimized geometry, DFT PBE; values from VASP
! Energy relative to the lowest polymorph listed for this composition   30 meV/atom
! ΔE_f   0.01 eV/atom
&SYSTEM
  ibrav = 0, nat = 7, ntyp = 3
/
ATOMIC_SPECIES
La 138.91 La.upf
Pr 140.91 Pr.upf
Mg 24.30 Mg.upf
ATOMIC_POSITIONS crystal
La 0.293 0.500 0.586
La 0.707 0.500 0.414
Pr 0.419 0.500 0.839
Pr 0.581 0.500 0.161
Pr 0.000 0.000 0.000
Mg 0.142 0.000 0.284
Mg 0.858 0.000 0.716
CELL_PARAMETERS angstrom
-1.797 -3.208 -1.264
2.923 -0.708 -2.357
7.940 -6.775 11.883

! BaZr2NbO8, optimized geometry, DFT PBE; values from VASP
! Formation energy from raw total energies   -2.719 eV/atom
&SYSTEM
  ibrav = 0, nat = 12, ntyp = 4
/
ATOMIC_SPECIES
Ba 137.33 Ba.upf
Zr 91.22 Zr.upf
Nb 92.91 Nb.upf
O 16.00 O.upf
ATOMIC_POSITIONS crystal
Ba 0.000 0.000 0.500
Zr 0.500 0.500 0.775
Zr 0.500 0.500 0.225
Nb 0.000 0.000 0.000
O 0.199 0.794 0.196
O 0.698 0.703 0.000
O 0.801 0.205 0.196
O 0.801 0.206 0.804
O 0.302 0.297 0.000
O 0.199 0.795 0.804
O 0.638 0.653 0.500
O 0.362 0.347 0.500
CELL_PARAMETERS angstrom
-4.326 -0.099 -2.498
2.371 -0.238 -4.372
-0.049 -7.148 0.356

! NaZn2SiPb, optimized geometry, DFT PBE; values from VASP
! Formation energy from raw total energies   0.706 eV/atom
&SYSTEM
  ibrav = 0, nat = 5, ntyp = 4
/
ATOMIC_SPECIES
Pb 207.20 Pb.upf
Na 22.99 Na.upf
Zn 65.41 Zn.upf
Si 28.09 Si.upf
ATOMIC_POSITIONS crystal
Pb 0.000 0.000 0.000
Na 0.500 0.500 0.500
Zn 0.000 0.000 0.500
Zn 0.500 0.000 0.000
Si 0.000 0.500 0.000
CELL_PARAMETERS angstrom
5.553 0.000 0.000
0.000 5.332 0.000
0.000 0.000 5.553

! SrBeI2, optimized geometry, DFT PBE; values from VASP
! Formation energy from raw total energies   -0.357 eV/atom
! Energy relative to the lowest polymorph listed for this composition   0 meV/atom
&SYSTEM
  ibrav = 0, nat = 4, ntyp = 3
/
ATOMIC_SPECIES
I 126.90 I.upf
Sr 87.62 Sr.upf
Be 9.01 Be.upf
ATOMIC_POSITIONS crystal
I 0.250 0.250 0.250
I 0.750 0.750 0.750
Sr 0.500 0.500 0.500
Be 0.000 0.000 0.000
CELL_PARAMETERS angstrom
0.000 4.063 4.063
4.063 0.000 4.063
4.063 4.063 0.000

! ZrBe2Sb, optimized geometry, DFT PBE; values from VASP
! Formation energy from raw total energies   0.290 eV/atom
&SYSTEM
  ibrav = 0, nat = 4, ntyp = 3
/
ATOMIC_SPECIES
Sb 121.76 Sb.upf
Zr 91.22 Zr.upf
Be 9.01 Be.upf
ATOMIC_POSITIONS crystal
Sb 0.500 0.500 0.500
Zr 0.000 0.000 0.500
Be 0.000 0.000 0.000
Be 0.500 0.500 0.000
CELL_PARAMETERS angstrom
-2.682 -0.879 -1.139
0.114 -4.087 2.886
-2.038 -0.205 4.954

! AgN, optimized geometry, DFT PBE; values from VASP
! Formation energy from raw total energies   1.710 eV/atom
! Energy relative to the lowest polymorph listed for this composition   1453 meV/atom
&SYSTEM
  ibrav = 0, nat = 32, ntyp = 2
/
ATOMIC_SPECIES
Ag 107.87 Ag.upf
N 14.01 N.upf
ATOMIC_POSITIONS crystal
Ag 0.000 0.000 0.355
Ag 0.000 0.000 0.645
Ag 0.250 0.750 0.895
Ag 0.250 0.750 0.605
Ag 0.000 0.500 0.855
Ag 0.000 0.500 0.145
Ag 0.250 0.250 0.395
Ag 0.250 0.250 0.105
Ag 0.500 0.000 0.855
Ag 0.500 0.000 0.145
Ag 0.750 0.750 0.395
Ag 0.750 0.750 0.105
Ag 0.500 0.500 0.355
Ag 0.500 0.500 0.645
Ag 0.750 0.250 0.895
Ag 0.750 0.250 0.605
N 0.000 0.375 0.000
N 0.000 0.625 0.000
N 0.250 0.375 0.250
N 0.250 0.125 0.250
N 0.000 0.875 0.500
N 0.000 0.125 0.500
N 0.250 0.875 0.750
N 0.250 0.625 0.750
N 0.500 0.375 0.500
N 0.500 0.625 0.500
N 0.750 0.375 0.750
N 0.750 0.125 0.750
N 0.500 0.875 0.000
N 0.500 0.125 0.000
N 0.750 0.875 0.250
N 0.750 0.625 0.250
CELL_PARAMETERS angstrom
4.249 0.000 0.000
0.000 11.710 0.000
0.000 0.000 10.790

! Sm6Ru2Pt, optimized geometry, DFT PBE; values from VASP
! Energy relative to the lowest polymorph listed for this composition   40 meV/atom
! ΔE_f   -0.38 eV/atom
&SYSTEM
  ibrav = 0, nat = 18, ntyp = 3
/
ATOMIC_SPECIES
Sm 150.36 Sm.upf
Ru 101.07 Ru.upf
Pt 195.08 Pt.upf
ATOMIC_POSITIONS crystal
Sm 0.833 0.940 0.241
Sm 0.821 0.668 0.571
Sm 0.846 0.675 0.922
Sm 0.654 0.175 0.578
Sm 0.679 0.168 0.929
Sm 0.667 0.440 0.259
Sm 0.167 0.060 0.759
Sm 0.179 0.332 0.429
Sm 0.154 0.325 0.078
Sm 0.346 0.825 0.422
Sm 0.321 0.832 0.071
Sm 0.333 0.560 0.741
Ru 0.965 0.389 0.738
Ru 0.535 0.889 0.762
Ru 0.465 0.111 0.238
Ru 0.035 0.611 0.262
Pt 0.500 0.500 0.000
Pt 0.000 0.000 0.500
CELL_PARAMETERS angstrom
6.764 0.000 0.333
0.000 7.473 0.000
-0.356 0.000 9.873

! TiBiSe2, optimized geometry, DFT PBE; values from VASP
! Formation energy from raw total energies   -0.651 eV/atom
&SYSTEM
  ibrav = 0, nat = 16, ntyp = 3
/
ATOMIC_SPECIES
Bi 208.98 Bi.upf
Se 78.96 Se.upf
Ti 47.87 Ti.upf
ATOMIC_POSITIONS crystal
Bi 0.658 0.256 0.600
Bi 0.342 0.744 0.400
Bi 0.842 0.756 0.900
Bi 0.158 0.244 0.100
Se 0.848 0.752 0.531
Se 0.152 0.248 0.469
Se 0.652 0.252 0.969
Se 0.348 0.748 0.031
Se 0.109 0.748 0.748
Se 0.891 0.252 0.252
Se 0.391 0.248 0.752
Se 0.609 0.752 0.248
Ti 0.226 0.248 0.865
Ti 0.774 0.752 0.135
Ti 0.274 0.748 0.635
Ti 0.726 0.252 0.365
CELL_PARAMETERS angstrom
20.752 0.000 2.727
0.000 3.574 0.000
-6.672 0.000 5.238

Number 1: mass density 10.867 g/cm3, calculated total energy -66.7 eV for the cell shown. Number 2: mass density 4.763 g/cm3, calculated total energy -17.2 eV for the cell shown. Number 3: mass density 4.250 g/cm3, calculated total energy -33.9 eV for the cell shown. Number 4: mass density 7.270 g/cm3, calculated total energy -67.0 eV for the cell shown. Number 5: mass density 5.336 g/cm3, calculated total energy -27.3 eV for the cell shown. Number 6: mass density 5.045 g/cm3, calculated total energy -101.4 eV for the cell shown. Number 7: mass density 3.930 g/cm3, calculated total energy -9.5 eV for the cell shown. Number 8: mass density 4.338 g/cm3, calculated total energy -9.9 eV for the cell shown. Number 9: mass density 5.650 g/cm3, calculated total energy -19.0 eV for the cell shown. Number 10: mass density 6.031 g/cm3, calculated total energy -124.1 eV for the cell shown. Number 11: mass density 8.632 g/cm3, calculated total energy -112.6 eV for the cell shown. Number 12: mass density 6.074 g/cm3, calculated total energy -85.4 eV for the cell shown.